## Tb4SmY6 (PBE)

Data for a geometry-optimized Tb4SmY6 structure.

relative energy among the computed polymorphs: 0.51 eV/f.u.
density of states at the Fermi level: 16.120 states/eV/f.u.
calculated volume: 33.60 Å³/atom

```
Tb4SmY6
1.0
10.939 0.000 0.000
-5.470 9.473 0.000
0.000 0.000 3.566
Tb Sm Y
4 1 6
direct
0.000 0.000 0.000
0.505 0.010 0.500
0.505 0.495 0.500
0.990 0.495 0.500
0.667 0.333 0.000
0.186 0.372 0.000
0.186 0.814 0.000
0.300 0.150 0.500
0.628 0.814 0.000
0.850 0.150 0.500
0.850 0.700 0.500
```